Record 1
A PBEsol-optimized structure of SiIr2Ru2. Source: the Alexandria database, functional meta-GGA SCAN.

Unit cell a=3.4043 b=3.4043 c=6.9113 alpha=104.26 beta=104.26 gamma=90.00
Last column: nearest neighbours and their distance in Å.
Element x y z (fractional)
Ir: 0.4032 0.4032 0.8065  1 Ir 2.51, 4 Ru 2.62, 4 Si 2.71
Ir: 0.5968 0.5968 0.1935  1 Ir 2.51, 4 Ru 2.62, 4 Si 2.71
Ru: 0.2500 0.7500 0.5000  4 Ru 2.41, 4 Ir 2.62
Ru: 0.7500 0.2500 0.5000  4 Ru 2.41, 4 Ir 2.62
Si: 0.0000 0.0000 0.0000  8 Ir 2.71

For the total energy, the calculation gives -219.81 eV for the cell shown. For the calculated density, the calculation gives 13594 kg/m³. Its volume is 75 Å³/cell. The calculation puts the magnetization at 0.00 μB per formula unit.

---

Record 2
A PBEsol-optimized structure of SiIrRu. Source: the Alexandria database, functional meta-GGA SCAN.

Unit cell a=2.7536 b=2.7536 c=6.0379 alpha=90.00 beta=90.00 gamma=120.00
Last column: nearest neighbours and their distance in Å.
Element x y z (fractional)
Ru: 0.3333 0.6667 0.6419  3 Si 2.43
Si: 0.6667 0.3333 0.3368  3 Ru 2.43, 3 Ir 2.48
Ir: 0.0000 0.0000 0.0213  3 Si 2.48, 6 Ir 2.75

For the total energy, the calculation gives -117.01 eV for the cell shown. For the calculated density, the calculation gives 13460 kg/m³. Its volume is 40 Å³/cell. The calculation puts the magnetization at 0.00 μB per formula unit.

---

Record 3
A PBEsol-optimized structure of Sm2IrRu. Source: the Alexandria database, functional meta-GGA SCAN.

Unit cell a=4.8491 b=4.8491 c=4.8491 alpha=60.00 beta=60.00 gamma=60.00
Last column: nearest neighbours and their distance in Å.
Element x y z (fractional)
Sm: 0.7500 0.7500 0.7500  4 Ru 2.97, 4 Ir 2.97
Sm: 0.2500 0.2500 0.2500  4 Ru 2.97, 4 Ir 2.97
Ir: 0.0000 0.0000 0.0000  8 Sm 2.97
Ru: 0.5000 0.5000 0.5000  8 Sm 2.97

For the formation energy, the calculation gives -543 meV per atom. For the total energy, the calculation gives -196.98 eV for the cell shown. For the calculated density, the calculation gives 12234 kg/m³. Its volume is 81 Å³/cell. The calculation puts the magnetization at 0.00 μB per formula unit.

---

Record 4
A PBEsol-optimized structure of Sr2IrRu. Source: the Alexandria database, functional meta-GGA SCAN.

Unit cell a=3.4882 b=3.4882 c=8.7711 alpha=90.00 beta=90.00 gamma=90.00
Last column: nearest neighbours and their distance in Å.
Element x y z (fractional)
Ru: 0.5000 0.5000 0.6616  4 Ir 2.56
Ir: 0.0000 0.0000 0.5846  4 Ru 2.56
Sr: 0.0000 0.0000 0.9196  1 Ir 2.94
Sr: 0.5000 0.5000 0.3342  1 Ru 2.87

For the formation energy, the calculation gives 249 meV per atom. For the total energy, the calculation gives -149.48 eV for the cell shown. For the calculated density, the calculation gives 7290 kg/m³. Its volume is 107 Å³/cell. The calculation puts the magnetization at 0.54 μB per formula unit.

---

Record 5
A PBEsol-optimized structure of Sr2IrRu. Source: the Alexandria database, functional meta-GGA SCAN.

Unit cell a=3.1782 b=4.9579 c=5.7567 alpha=99.10 beta=90.00 gamma=108.69
Last column: nearest neighbours and their distance in Å.
Element x y z (fractional)
Sr: 0.2496 0.4993 0.2500  3 Ir 2.95-3.00, 3 Ru 2.95-2.99, 6 Sr 3.18-3.29
Sr: 0.7504 0.5007 0.7500  3 Ir 2.95-3.00, 3 Ru 2.95-2.99, 6 Sr 3.18-3.29
Ru: 0.5000 0.0000 0.0000  6 Sr 2.95-2.99, 2 Ru 3.18, 4 Ir 3.29
Ir: 0.0000 0.0000 0.5000  6 Sr 2.95-3.00, 2 Ir 3.18, 4 Ru 3.29

For the formation energy, the calculation gives 757 meV per atom. For the total energy, the calculation gives -147.45 eV for the cell shown. For the calculated density, the calculation gives 9183 kg/m³. Its volume is 85 Å³/cell. The calculation puts the magnetization at 0.00 μB per formula unit.

---

Record 6
A PBEsol-optimized structure of SrIr2Ru. Source: the Alexandria database, functional meta-GGA SCAN.

Unit cell a=2.7724 b=5.0232 c=5.0232 alpha=110.41 beta=90.00 gamma=90.00
Last column: nearest neighbours and their distance in Å.
Element x y z (fractional)
Sr: 0.5000 0.5000 0.5000  2 Sr 2.77, 2 Ru 2.87, 8 Ir 2.87
Ru: 0.5000 0.0000 0.0000  2 Ru 2.77, 2 Sr 2.87, 8 Ir 2.87
Ir: 0.0000 0.5000 0.0000  4 Ir 2.77-2.87, 4 Ru 2.87, 4 Sr 2.87
Ir: 0.0000 0.0000 0.5000  4 Ir 2.77-2.87, 4 Sr 2.87, 4 Ru 2.87

For the energy above the lowest structure with this stoichiometry, the calculation gives 296.8 meV per atom. For the formation energy, the calculation gives 506 meV per atom. For the total energy, the calculation gives -197.28 eV for the cell shown. For the calculated density, the calculation gives 14516 kg/m³. Its volume is 66 Å³/cell. The calculation puts the magnetization at 0.00 μB per formula unit.